No. 1
# Sc2In2Ni

A relaxed Sc2In2Ni crystal (PBE-GGA, Alexandria).

Crystal system: tetragonal
Excess energy over the best structure of this formula in the dataset (eV/atom): 0.137

Lattice parameters (Å, degrees): 6.7677 6.7677 4.8544 90.00 90.00 90.00
Positions (direct):
Sc (0.1600, 0.3400, 0.0000)
Sc (0.3400, 0.8400, 0.0000)
Sc (0.6600, 0.1600, 0.0000)
Sc (0.8400, 0.6600, 0.0000)
In (0.1577, 0.6577, 0.5000)
In (0.3423, 0.1577, 0.5000)
In (0.6577, 0.8423, 0.5000)
In (0.8423, 0.3423, 0.5000)
Ni (0.0000, 0.0000, 0.0000)
Ni (0.5000, 0.5000, 0.0000)


No. 2
# ScInNi2

A relaxed ScInNi2 crystal (PBE-GGA, Alexandria).

Crystal system: tetragonal

Lattice parameters (Å, degrees): 5.0583 5.0583 5.0583 135.30 135.30 65.07
Positions (direct):
Sc (0.0000, 0.0000, 0.0000)
In (0.7500, 0.2500, 0.5000)
Ni (0.2500, 0.7500, 0.5000)
Ni (0.5000, 0.5000, 0.0000)


No. 3
# ScIn2Ni

A relaxed ScIn2Ni crystal (PBE-GGA, Alexandria).

Crystal system: tetragonal

Lattice parameters (Å, degrees): 10.5073 10.5073 10.5073 157.31 157.31 32.30
Positions (direct):
Sc (0.0000, 0.0000, 0.0000)
Sc (0.7500, 0.2500, 0.5000)
In (0.1385, 0.6250, 0.0135)
In (0.3750, 0.3885, 0.5135)
In (0.6115, 0.1250, 0.9865)
In (0.8750, 0.8615, 0.4865)
Ni (0.2500, 0.7500, 0.5000)
Ni (0.5000, 0.5000, 0.0000)


no.,formation energy (meV per atom)
1,-99
2,-305
3,73